# Ta2ZnHg PBE-GGA relaxed
# * offset from the most stable computed form: 0.771 eV/f.u.
# * calculated total energy: -5.994 eV/atom
# * space group: I-4m2 (119)
data_Ta2ZnHg
_chemical_formula_sum 'Ta2 Zn1 Hg1'
_symmetry_space_group_name_H-M 'P 1'
_symmetry_Int_Tables_number 1
_cell_length_a 5.268
_cell_length_b 5.268
_cell_length_c 5.268
_cell_angle_alpha 135.04
_cell_angle_beta 135.04
_cell_angle_gamma 65.47
loop_
_symmetry_equiv_pos_as_xyz
'x,y,z'
loop_
_atom_site_label
_atom_site_type_symbol
_atom_site_fract_x
_atom_site_fract_y
_atom_site_fract_z
_atom_site_occupancy
Ta1 Ta 0.000 0.000 0.000 1
Zn1 Zn 0.500 0.500 0.000 1
Hg1 Hg 0.750 0.250 0.500 1
Ta2 Ta 0.250 0.750 0.500 1